Entry one
Density functional theory data (PBE) for a relaxed structure of CsCaTa.

abc: 4.6335 4.6342 15.8330
angles: 97.55 90.84 119.97
With the nearest neighbours (Å) after each atom.
Sites, in units of the cell vectors:
Cs 0.0000 0.0000 0.0000  3 Ca 4.46-4.47, 6 Cs 4.63-4.64
Cs 0.2528 0.4401 0.6991  3 Ca 4.45-4.47, 6 Cs 4.63-4.64
Ca 0.7517 0.4805 0.2289  6 Ta 3.27-3.28
Ca 0.8402 0.6329 0.4707  6 Ta 3.27-3.28
Ta 0.1293 0.2234 0.3498  3 Ta 2.67-2.68
Ta 0.4626 0.8901 0.3498  3 Ta 2.67-2.68

Summary:
* space group: No. 1

***

Entry two
Density functional theory data (PBE) for a relaxed structure of CsCaTa.

abc: 4.6493 7.2322 16.8757
angles: 90.00 90.00 90.00
With the nearest neighbours (Å) after each atom.
Sites, in units of the cell vectors:
Cs 0.0005 0.2500 0.1482  2 Ta 3.84, 2 Cs 4.15
Cs 0.4995 0.7500 0.6482  2 Ta 3.84, 2 Cs 4.15
Cs 0.5005 0.2500 0.3518  2 Ta 3.84, 2 Cs 4.15
Cs 0.9995 0.7500 0.8518  2 Ta 3.84, 2 Cs 4.15
Ca 0.0056 0.2500 0.5892  3 Ta 3.15-3.26
Ca 0.4944 0.7500 0.0892  3 Ta 3.15-3.26
Ca 0.5056 0.2500 0.9108  3 Ta 3.15-3.26
Ca 0.9944 0.7500 0.4108  3 Ta 3.15-3.26
Ta 0.0064 0.2500 0.7759  2 Ta 2.48
Ta 0.4936 0.7500 0.2759  2 Ta 2.48
Ta 0.5064 0.2500 0.7241  2 Ta 2.48
Ta 0.9936 0.7500 0.2241  2 Ta 2.48

Summary:
* space group: No. 62

***

The structure with the greatest stability is entry one.

***

Entry one
Density functional theory data (PBE) for a relaxed structure of CsCaTa.

abc: 6.0270 6.0270 8.8020
angles: 90.00 90.00 120.00
With the nearest neighbours (Å) after each atom.
Sites, in units of the cell vectors:
Cs 0.0000 0.0000 0.0000  6 Ta 3.66, 6 Ca 3.89
Cs 0.0000 0.0000 0.5000  6 Ca 4.38, 2 Cs 4.40, 6 Ta 4.77
Ca 0.6667 0.3333 0.1973  1 Ca 3.47, 3 Ta 3.53, 3 Cs 3.89
Ca 0.6667 0.3333 0.8027  1 Ca 3.47, 3 Ta 3.53, 3 Cs 3.89
Ta 0.3333 0.6667 0.1288  1 Ta 2.27
Ta 0.3333 0.6667 0.8712  1 Ta 2.27

Summary:
* space group: No. 187

***

Entry two
Density functional theory data (PBE) for a relaxed structure of CsCaTa.

abc: 3.6855 3.6855 17.8739
angles: 95.27 95.85 90.01
With the nearest neighbours (Å) after each atom.
Sites, in units of the cell vectors:
Cs 0.0000 0.0000 0.0000  4 Cs 3.69
Cs 0.1256 0.1636 0.2529  4 Cs 3.69
Ca 0.3855 0.3969 0.7772  5 Ta 3.18-3.39
Ca 0.7357 0.7624 0.4757  5 Ta 3.18-3.39
Ta 0.2962 0.3168 0.5978  4 Ta 2.80
Ta 0.8245 0.8423 0.6550  4 Ta 2.80

Summary:
* space group: No. 1

***

The structure with the greatest stability is entry two.

***

Entry one
Density functional theory data (PBE) for a relaxed structure of CsCaTa.

abc: 8.2324 8.2324 8.2324
angles: 90.00 90.00 90.00
With the nearest neighbours (Å) after each atom.
Sites, in units of the cell vectors:
Cs 0.0000 0.0000 0.0000  4 Ta 3.56
Cs 0.0000 0.5000 0.5000  4 Ta 3.56
Cs 0.5000 0.0000 0.5000  4 Ta 3.56
Cs 0.5000 0.5000 0.0000  4 Ta 3.56
Ca 0.0000 0.0000 0.5000  4 Ta 3.56
Ca 0.0000 0.5000 0.0000  4 Ta 3.56
Ca 0.5000 0.0000 0.0000  4 Ta 3.56
Ca 0.5000 0.5000 0.5000  4 Ta 3.56
Ta 0.2500 0.2500 0.7500  4 Ca 3.56, 4 Cs 3.56
Ta 0.2500 0.7500 0.2500  4 Ca 3.56, 4 Cs 3.56
Ta 0.7500 0.2500 0.2500  4 Ca 3.56, 4 Cs 3.56
Ta 0.7500 0.7500 0.7500  4 Cs 3.56, 4 Ca 3.56

Summary:
* space group: No. 216

***

Entry two
Density functional theory data (PBE) for a relaxed structure of CsCaTa.

abc: 3.9264 6.7518 10.0661
angles: 77.00 88.96 89.49
With the nearest neighbours (Å) after each atom.
Sites, in units of the cell vectors:
Cs 0.0000 0.0000 0.0000  6 Cs 3.93-4.39, 2 Ta 4.18-4.20, 1 Ca 4.33
Cs 0.4980 0.4461 0.1880  4 Ta 3.72-3.96, 2 Cs 3.93
Ca 0.4705 0.6009 0.6873  3 Ta 3.14-3.32
Ca 0.9682 0.1092 0.5601  3 Ta 3.22-3.54
Ta 0.4799 0.9009 0.3769  2 Ta 2.55
Ta 0.9813 0.6570 0.4382  2 Ta 2.55

Summary:
* space group: No. 1

***

The structure with the greatest stability is entry two.

***

Entry one
Density functional theory data (PBE) for a relaxed structure of CsCa3Ta.

abc: 5.9973 5.9973 5.9973
angles: 90.00 90.00 90.00
With the nearest neighbours (Å) after each atom.
Sites, in units of the cell vectors:
Cs 0.0000 0.0000 0.0000  12 Ca 4.24
Ca 0.0000 0.5000 0.5000  2 Ta 3.00
Ca 0.5000 0.0000 0.5000  2 Ta 3.00
Ca 0.5000 0.5000 0.0000  2 Ta 3.00
Ta 0.5000 0.5000 0.5000  6 Ca 3.00

Summary:
* space group: No. 221

***

Entry two
Density functional theory data (PBE) for a relaxed structure of CsCa3Ta.

abc: 5.6223 5.6223 5.6223
angles: 90.00 90.00 90.00
With the nearest neighbours (Å) after each atom.
Sites, in units of the cell vectors:
Cs 0.0000 0.0000 0.0000  6 Ca 2.81
Ca 0.0000 0.0000 0.5000  2 Cs 2.81
Ca 0.0000 0.5000 0.0000  2 Cs 2.81
Ca 0.5000 0.0000 0.0000  2 Cs 2.81
Ta 0.5000 0.5000 0.5000  12 Ca 3.98

Summary:
* space group: No. 221

***

The structure with the greatest stability is entry one.

***

Entry one
Density functional theory data (PBE) for a relaxed structure of Cs2CaTe.

abc: 14.2871 14.2871 6.0580
angles: 90.00 90.00 90.00
With the nearest neighbours (Å) after each atom.
Sites, in units of the cell vectors:
Cs 0.0927 0.2500 0.1250  2 Te 3.88
Cs 0.2500 0.5927 0.3750  2 Te 3.88
Cs 0.2500 0.9073 0.8750  2 Te 3.88
Cs 0.4073 0.2500 0.6250  2 Te 3.88
Cs 0.5927 0.7500 0.6250  2 Te 3.88
Cs 0.7500 0.0927 0.8750  2 Te 3.88
Cs 0.7500 0.4073 0.3750  2 Te 3.88
Cs 0.9073 0.7500 0.1250  2 Te 3.88
Ca 0.0000 0.0000 0.5000  2 Te 3.03
Ca 0.0000 0.5000 0.7500  2 Te 3.03
Ca 0.5000 0.0000 0.2500  2 Te 3.03
Ca 0.5000 0.5000 0.0000  2 Te 3.03
Te 0.0000 0.0000 0.0000  2 Ca 3.03
Te 0.0000 0.5000 0.2500  2 Ca 3.03
Te 0.5000 0.0000 0.7500  2 Ca 3.03
Te 0.5000 0.5000 0.5000  2 Ca 3.03

Summary:
* space group: No. 122

***

Entry two
Density functional theory data (PBE) for a relaxed structure of Cs2CaTe.

abc: 9.4947 9.4947 9.4947
angles: 90.00 90.00 90.00
With the nearest neighbours (Å) after each atom.
Sites, in units of the cell vectors:
Cs 0.2500 0.2500 0.2500  4 Te 4.11, 4 Ca 4.11
Cs 0.2500 0.2500 0.7500  4 Te 4.11, 4 Ca 4.11
Cs 0.2500 0.7500 0.2500  4 Te 4.11, 4 Ca 4.11
Cs 0.2500 0.7500 0.7500  4 Te 4.11, 4 Ca 4.11
Cs 0.7500 0.2500 0.2500  4 Te 4.11, 4 Ca 4.11
Cs 0.7500 0.2500 0.7500  4 Te 4.11, 4 Ca 4.11
Cs 0.7500 0.7500 0.2500  4 Te 4.11, 4 Ca 4.11
Cs 0.7500 0.7500 0.7500  4 Ca 4.11, 4 Te 4.11
Ca 0.0000 0.0000 0.0000  8 Cs 4.11
Ca 0.0000 0.5000 0.5000  8 Cs 4.11
Ca 0.5000 0.0000 0.5000  8 Cs 4.11
Ca 0.5000 0.5000 0.0000  8 Cs 4.11
Te 0.0000 0.0000 0.5000  8 Cs 4.11
Te 0.0000 0.5000 0.0000  8 Cs 4.11
Te 0.5000 0.0000 0.0000  8 Cs 4.11
Te 0.5000 0.5000 0.5000  8 Cs 4.11

Summary:
* space group: No. 225

***

The structure with the greatest stability is entry one.